1.
{"formula": "LiMg6GaO8", "functional": "PBE", "state": "relaxed", "cell": [[-2.546, 3.248, -0.824], [-2.878, -1.589, 2.627], [3.480, 4.364, 6.453]], "species": ["Li", "Mg", "Mg", "Mg", "Mg", "Mg", "Mg", "Ga", "O", "O", "O", "O", "O", "O", "O", "O"], "frac_coords": [[0.000, 0.000, 0.000], [0.000, 0.000, 0.500], [0.500, 0.500, 0.500], [0.000, 0.500, 0.245], [0.000, 0.500, 0.755], [0.500, 0.000, 0.245], [0.500, 0.000, 0.755], [0.500, 0.500, 0.000], [0.000, 0.000, 0.257], [0.000, 0.000, 0.743], [0.500, 0.500, 0.237], [0.500, 0.500, 0.763], [0.000, 0.500, 0.000], [0.000, 0.500, 0.500], [0.500, 0.000, 0.000], [0.500, 0.000, 0.500]], "raw_formation_energy_ev_per_atom": -2.485, "polymorph_energy_ev_per_atom": 0.004}

---

2.
{"formula": "BPt2Rh", "functional": "PBE", "state": "relaxed", "cell": [[6.654, 0.000, 0.000], [0.000, 6.654, 0.000], [3.327, 3.327, 2.499]], "species": ["B", "B", "Rh", "Rh", "Pt", "Pt", "Pt", "Pt"], "frac_coords": [[0.500, 0.500, 0.000], [0.250, 0.750, 0.500], [0.000, 0.000, 0.000], [0.750, 0.250, 0.500], [0.542, 0.125, 0.250], [0.208, 0.625, 0.250], [0.375, 0.458, 0.750], [0.875, 0.792, 0.750]], "formation_energy_ev_per_atom": -0.021}

---

3.
{"formula": "Li3Pu4Ge4", "functional": "PBE", "state": "relaxed", "cell": [[-1.572, 3.574, -1.510], [-4.570, -4.616, -6.168], [-2.143, 0.019, 8.078]], "species": ["Li", "Li", "Li", "Pu", "Pu", "Pu", "Pu", "Ge", "Ge", "Ge", "Ge"], "frac_coords": [[0.100, 0.100, 0.200], [0.900, 0.900, 0.800], [0.000, 0.500, 0.000], [0.329, 0.165, 0.659], [0.671, 0.506, 0.341], [0.671, 0.835, 0.341], [0.329, 0.494, 0.659], [0.284, 0.784, 0.568], [0.716, 0.216, 0.432], [0.500, 0.862, 0.000], [0.500, 0.138, 0.000]], "formation_energy_ev_per_atom": -0.087}

---

4.
{"formula": "TlAg2Ru", "functional": "PBE", "state": "relaxed", "cell": [[-2.398, 1.436, 2.169], [0.148, -2.870, 2.063], [4.449, 2.552, 3.231]], "species": ["Ag", "Ag", "Ru", "Tl"], "frac_coords": [[0.000, 0.000, 0.022], [0.000, 0.000, 0.478], [0.500, 0.500, 0.250], [0.500, 0.500, 0.750]], "formation_energy_ev_per_atom": 0.574, "polymorph_energy_ev_per_atom": 0.180}

---

5.
{"formula": "NdTh2PtRh5", "functional": "PBE", "state": "relaxed", "cell": [[-0.231, -7.871, 3.000], [-0.827, -2.966, -7.844], [5.929, 5.090, 1.977]], "species": ["Nd", "Nd", "Th", "Th", "Th", "Th", "Pt", "Pt", "Rh", "Rh", "Rh", "Rh", "Rh", "Rh", "Rh", "Rh", "Rh", "Rh"], "frac_coords": [[0.250, 0.250, 0.500], [0.750, 0.750, 0.500], [0.139, 0.361, 0.000], [0.639, 0.139, 0.000], [0.361, 0.861, 0.000], [0.861, 0.639, 0.000], [0.250, 0.750, 0.500], [0.750, 0.250, 0.500], [0.946, 0.446, 0.265], [0.681, 0.181, 0.735], [0.054, 0.554, 0.735], [0.181, 0.054, 0.735], [0.554, 0.681, 0.735], [0.819, 0.946, 0.265], [0.446, 0.319, 0.265], [0.319, 0.819, 0.265], [0.500, 0.500, 0.000], [0.000, 0.000, 0.000]], "formation_energy_ev_per_atom": -0.413}

---

6.
{"formula": "SrY2As2", "functional": "PBE", "state": "relaxed", "cell": [[8.365, 0.000, 0.000], [0.000, 8.365, 0.000], [0.000, 0.000, 3.680]], "species": ["Y", "Y", "Y", "Y", "Sr", "Sr", "As", "As", "As", "As"], "frac_coords": [[0.367, 0.867, 0.000], [0.867, 0.633, 0.000], [0.633, 0.133, 0.000], [0.133, 0.367, 0.000], [0.000, 0.000, 0.000], [0.500, 0.500, 0.000], [0.165, 0.665, 0.500], [0.665, 0.835, 0.500], [0.835, 0.335, 0.500], [0.335, 0.165, 0.500]], "formation_energy_ev_per_atom": -0.736, "polymorph_energy_ev_per_atom": 0.317}

---

Repeat the first record exactly.
{"formula": "LiMg6GaO8", "functional": "PBE", "state": "relaxed", "cell": [[-2.546, 3.248, -0.824], [-2.878, -1.589, 2.627], [3.480, 4.364, 6.453]], "species": ["Li", "Mg", "Mg", "Mg", "Mg", "Mg", "Mg", "Ga", "O", "O", "O", "O", "O", "O", "O", "O"], "frac_coords": [[0.000, 0.000, 0.000], [0.000, 0.000, 0.500], [0.500, 0.500, 0.500], [0.000, 0.500, 0.245], [0.000, 0.500, 0.755], [0.500, 0.000, 0.245], [0.500, 0.000, 0.755], [0.500, 0.500, 0.000], [0.000, 0.000, 0.257], [0.000, 0.000, 0.743], [0.500, 0.500, 0.237], [0.500, 0.500, 0.763], [0.000, 0.500, 0.000], [0.000, 0.500, 0.500], [0.500, 0.000, 0.000], [0.500, 0.000, 0.500]], "raw_formation_energy_ev_per_atom": -2.485, "polymorph_energy_ev_per_atom": 0.004}